First-principles (PBE) data for LaTbSmPu after structural relaxation, as listed in Alexandria.

Cell: 5.699 5.699 5.699 Å, 60.00 60.00 60.00°
Sites, in units of the cell vectors:
La (0.000, 0.000, 0.000)
Tb (0.750, 0.750, 0.750)
Sm (0.500, 0.500, 0.500)
Pu (0.250, 0.250, 0.250)

Summary:
**Final energy**: -27.77 eV/cell
**Crystal system**: cubic
**ΔE_f**: 0.210 eV/atom
**SG**: F-43m


First-principles (PBE) data for La2Tb3Sm6Pu after structural relaxation, as listed in Alexandria.

Cell: 6.259 6.259 11.969 Å, 95.05 95.05 120.07°
Sites, in units of the cell vectors:
La (0.167, 0.833, 0.000)
La (0.833, 0.167, 0.000)
Tb (0.000, 0.000, 0.500)
Tb (0.334, 0.666, 0.500)
Tb (0.666, 0.334, 0.500)
Sm (0.087, 0.416, 0.748)
Sm (0.256, 0.256, 0.252)
Sm (0.416, 0.087, 0.748)
Sm (0.584, 0.913, 0.252)
Sm (0.744, 0.744, 0.748)
Sm (0.913, 0.584, 0.252)
Pu (0.500, 0.500, 0.000)

Summary:
**Final energy**: -65.76 eV/cell
**Crystal system**: monoclinic
**ΔE_f**: 0.052 eV/atom
**SG**: C2/m


First-principles (PBE) data for LaSm3Pu2Te6 after structural relaxation, as listed in Alexandria.

Cell: 7.717 7.717 7.757 Å, 99.56 99.56 119.99°
Sites, in units of the cell vectors:
La (0.000, 0.000, 0.000)
Sm (0.163, 0.837, 0.500)
Sm (0.500, 0.500, 0.500)
Sm (0.837, 0.163, 0.500)
Pu (0.333, 0.667, 0.000)
Pu (0.667, 0.333, 0.000)
Te (0.085, 0.425, 0.253)
Te (0.257, 0.257, 0.751)
Te (0.425, 0.085, 0.253)
Te (0.575, 0.915, 0.747)
Te (0.743, 0.743, 0.249)
Te (0.915, 0.575, 0.747)

Summary:
**Final energy**: -82.63 eV/cell
**Crystal system**: monoclinic
**SG**: C2/m
**Energy relative to the elements, uncorrected**: -1.3361 eV per atom